Record 1
A relaxed Y2AgP crystal. Source: Alexandria, functional PBE-GGA. Values from VASP.

The calculation puts the density of states at the Fermi level at 5.02 states/eV/f.u. As for the formation energy from the elements: -0.7115 eV/atom. The value obtained for the density is 5.289 g cm⁻³.

```
&SYSTEM
  ibrav = 0, nat = 4, ntyp = 3
/
ATOMIC_SPECIES
Y 88.91 Y.upf
Ag 107.87 Ag.upf
P 30.97 P.upf
CELL_PARAMETERS angstrom
4.1300 0.0000 0.0000
0.0000 4.1300 0.0000
0.0000 0.0000 5.8289
ATOMIC_POSITIONS angstrom
Y 0.0000 0.0000 0.0000
Y 2.0650 2.0650 2.9145
Ag 0.0000 0.0000 2.9145
P 2.0650 2.0650 0.0000
```

=====

Record 2
A relaxed CdTe2O crystal. Source: Alexandria, functional PBE-GGA. Values from VASP.

The calculation puts the density of states at the Fermi level at 1.94 states/eV/f.u. Its uncorrected formation energy is 0.190 eV per atom. The value obtained for the density is 7.266 g cm⁻³.

```
&SYSTEM
  ibrav = 0, nat = 12, ntyp = 3
/
ATOMIC_SPECIES
Cd 112.41 Cd.upf
Te 127.60 Te.upf
O 16.00 O.upf
CELL_PARAMETERS angstrom
3.2341 0.0000 0.0000
-1.6170 2.8008 0.0000
0.0000 0.0000 29.0350
ATOMIC_POSITIONS angstrom
Cd 0.0000 0.0000 0.0000
Cd 0.0000 1.8672 19.3567
Cd 1.6170 0.9336 9.6783
Te 0.0000 0.0000 3.0433
Te 0.0000 0.0000 25.9918
Te 0.0000 1.8672 16.3135
Te 0.0000 1.8672 22.4000
Te 1.6170 0.9336 6.6351
Te 1.6170 0.9336 12.7216
O 0.0000 0.0000 14.5175
O 0.0000 1.8672 4.8392
O 1.6170 0.9336 24.1959
```

=====

Record 3
A relaxed PmCdBi4Rh2 crystal. Source: Alexandria, functional PBE-GGA. Values from VASP.

The calculation puts the density of states at the Fermi level at 7.68 states/eV/f.u. As for the formation energy from the elements: 0.0340 eV/atom. The value obtained for the density is 9.456 g cm⁻³.

```
&SYSTEM
  ibrav = 0, nat = 8, ntyp = 4
/
ATOMIC_SPECIES
Pm 145.00 Pm.upf
Cd 112.41 Cd.upf
Bi 208.98 Bi.upf
Rh 102.91 Rh.upf
CELL_PARAMETERS angstrom
4.6670 0.0000 0.0000
0.0000 4.6670 0.0000
0.0000 0.0000 10.4742
ATOMIC_POSITIONS angstrom
Pm 0.0000 0.0000 0.0000
Cd 0.0000 0.0000 5.2371
Bi 0.0000 2.3335 2.4391
Bi 0.0000 2.3335 8.0351
Bi 2.3335 0.0000 2.4391
Bi 2.3335 0.0000 8.0351
Rh 2.3335 2.3335 3.9098
Rh 2.3335 2.3335 6.5643
```

=====

Record 4
A relaxed SrO2F crystal. Source: Alexandria, functional PBE-GGA. Values from VASP.

The calculation puts the density of states at the Fermi level at 3.77 states/eV/f.u. Its uncorrected formation energy is -1.085 eV per atom. The value obtained for the density is 3.291 g cm⁻³.

```
&SYSTEM
  ibrav = 0, nat = 12, ntyp = 3
/
ATOMIC_SPECIES
Sr 87.62 Sr.upf
O 16.00 O.upf
F 19.00 F.upf
CELL_PARAMETERS angstrom
3.9012 0.0000 0.0000
-1.9506 3.3786 0.0000
0.0000 0.0000 15.9204
ATOMIC_POSITIONS angstrom
Sr 0.0000 0.0000 0.0000
Sr 0.0000 2.2524 10.6136
Sr 1.9506 1.1262 5.3068
O 0.0000 0.0000 6.2123
O 0.0000 0.0000 9.7081
O 0.0000 2.2524 0.9055
O 0.0000 2.2524 4.4013
O 1.9506 1.1262 11.5191
O 1.9506 1.1262 15.0149
F 0.0000 0.0000 7.9602
F 0.0000 2.2524 2.6534
F 1.9506 1.1262 13.2670
```

=====

Record 5
A relaxed ErMg10Cd2 crystal. Source: Alexandria, functional PBE-GGA. Values from VASP.

The calculation puts the density of states at the Fermi level at 5.57 states/eV/f.u. As for the formation energy from the elements: -0.0503 eV/atom. The value obtained for the density is 3.499 g cm⁻³.

```
&SYSTEM
  ibrav = 0, nat = 13, ntyp = 3
/
ATOMIC_SPECIES
Er 167.26 Er.upf
Mg 24.30 Mg.upf
Cd 112.41 Cd.upf
CELL_PARAMETERS angstrom
0.0000 7.0981 7.1444
2.9715 0.0000 7.1444
2.9715 7.0981 0.0000
ATOMIC_POSITIONS angstrom
Er 0.0000 0.0000 0.0000
Mg 1.4857 0.0000 3.5722
Mg 2.9715 2.5028 4.6748
Mg 2.9715 5.5823 5.6493
Mg 2.9715 2.5028 9.6140
Mg 2.9715 5.5823 8.6396
Mg 1.4857 7.0981 3.5722
Mg 2.9715 8.6139 5.6493
Mg 2.9715 11.6933 4.6748
Mg 2.9715 8.6139 8.6396
Mg 2.9715 11.6933 9.6140
Cd 1.4857 3.5490 0.0000
Cd 1.4857 3.5490 7.1444
```

=====

Record 6
A relaxed HoTm6Co3 crystal. Source: Alexandria, functional PBE-GGA. Values from VASP.

The calculation puts the density of states at the Fermi level at 10.12 states/eV/f.u. As for the formation energy from the elements: -0.1591 eV/atom. The value obtained for the density is 9.553 g cm⁻³.

```
&SYSTEM
  ibrav = 0, nat = 20, ntyp = 3
/
ATOMIC_SPECIES
Ho 164.93 Ho.upf
Tm 168.93 Tm.upf
Co 58.93 Co.upf
CELL_PARAMETERS angstrom
5.2741 -6.3361 0.0000
5.2741 6.3361 0.0000
0.0000 0.0000 7.0499
ATOMIC_POSITIONS angstrom
Ho 5.2741 4.1686 3.5250
Ho 5.2741 -4.1686 0.0000
Tm 2.8750 2.4006 5.1350
Tm 1.7629 0.5203 2.6070
Tm 1.7629 -0.5203 6.1319
Tm 5.2741 2.8726 0.2988
Tm 2.8750 -2.4006 1.6100
Tm 5.2741 0.3203 2.6280
Tm 5.2741 -0.3203 6.1530
Tm 7.6733 2.4006 5.1350
Tm 5.2741 -2.8726 3.8238
Tm 8.7854 0.5203 2.6070
Tm 8.7854 -0.5203 6.1319
Tm 7.6733 -2.4006 1.6100
Co 5.2741 5.3204 1.1671
Co 3.1698 1.3498 0.5342
Co 3.1698 -1.3498 4.0592
Co 7.3785 1.3498 0.5342
Co 7.3785 -1.3498 4.0592
Co 5.2741 -5.3204 4.6921
```